No. 1
The following is a DFT calculation (PBE-GGA) of Ac3Nd3PuTe8 after structural relaxation.

Unit cell a=9.1243 b=9.1243 c=9.2632 alpha=119.51 beta=90.00 gamma=120.00
Last column: nearest neighbours and their distance in Å.
Fractional positions:
Nd (0.5000, 0.0000, 0.5000)  6 Te 3.19
Nd (0.0000, 0.5000, 0.5000)  6 Te 3.19
Ac (0.0000, 0.5000, 0.0000)  6 Te 3.31-3.32
Te (0.7452, 0.4905, 0.7357)  3 Nd 3.19, 3 Ac 3.32
Ac (0.5000, 0.5000, 0.0000)  6 Te 3.31-3.32
Nd (0.5000, 0.5000, 0.5000)  6 Te 3.19
Te (0.2487, 0.4973, 0.7393)  2 Nd 3.19, 1 Pu 3.23, 2 Ac 3.31
Te (0.2580, 0.0093, 0.2607)  2 Nd 3.19, 1 Pu 3.23, 2 Ac 3.31
Te (0.2487, 0.9907, 0.7393)  2 Nd 3.19, 1 Pu 3.23, 2 Ac 3.31
Te (0.7513, 0.5027, 0.2607)  2 Nd 3.19, 1 Pu 3.23, 2 Ac 3.31
Ac (0.0000, 0.0000, 0.0000)  6 Te 3.31-3.32
Pu (0.0000, 0.0000, 0.5000)  6 Te 3.23
Te (0.7420, 0.9907, 0.7393)  2 Nd 3.19, 1 Pu 3.23, 2 Ac 3.31
Te (0.7513, 0.0093, 0.2607)  2 Nd 3.19, 1 Pu 3.23, 2 Ac 3.31
Te (0.2548, 0.5095, 0.2643)  3 Nd 3.19, 3 Ac 3.32

Calculated values
ρ   7190 kg/m3
E   -87.56 eV per cell
V   36.6 Å³ per atom



No. 2
The following is a DFT calculation (PBE-GGA) of SiBiRh3 after structural relaxation.

Unit cell a=4.9626 b=4.9626 c=4.9626 alpha=90.00 beta=90.00 gamma=90.00
Last column: nearest neighbours and their distance in Å.
Fractional positions:
Rh (0.0000, 0.0000, 0.5000)  2 Bi 2.48
Rh (0.0000, 0.5000, 0.0000)  2 Bi 2.48
Rh (0.5000, 0.0000, 0.0000)  2 Bi 2.48
Bi (0.0000, 0.0000, 0.0000)  6 Rh 2.48
Si (0.5000, 0.5000, 0.5000)  12 Rh 3.51

Calculated values
Polymorph energy (0 for the lowest one)   706.4 kJ/mol of formula units
ρ   7415 kg/m3
V   24.4 Å³ per atom



No. 3
The following is a DFT calculation (PBE-GGA) of TeAsAu2 after structural relaxation.

Unit cell a=6.7794 b=6.7794 c=6.7794 alpha=149.14 beta=145.88 gamma=46.66
Last column: nearest neighbours and their distance in Å.
Fractional positions:
Au (0.0546, 0.0546, 0.0000)  2 Au 2.87, 4 Te 2.94, 2 As 3.20
As (0.2672, 0.7672, 0.5000)  4 Au 2.75, 2 Te 2.98
Au (0.7205, 0.2205, 0.5000)  4 As 2.75, 2 Au 2.87
Te (0.4576, 0.4576, 0.0000)  4 Au 2.94, 2 As 2.98

Calculated values
Polymorph energy (0 for the lowest one)   68.0 kJ/mol of formula units
ρ   11087 kg/m3
V   22.3 Å³ per atom



No. 4
The following is a DFT calculation (PBE-GGA) of Ag2S2N after structural relaxation.

Unit cell a=5.9368 b=5.9368 c=5.3833 alpha=90.00 beta=90.00 gamma=90.00
Last column: nearest neighbours and their distance in Å.
Fractional positions:
N (0.5000, 0.5000, 0.0000)  4 Ag 2.13
Ag (0.2932, 0.2068, 0.0000)  2 N 2.13
S (0.1176, 0.6176, 0.5000)  1 S 1.97
Ag (0.7932, 0.2932, 0.0000)  2 N 2.13
N (0.0000, 0.0000, 0.0000)  4 Ag 2.13
S (0.3824, 0.1176, 0.5000)  1 S 1.97
S (0.6176, 0.8824, 0.5000)  1 S 1.97
Ag (0.7068, 0.7932, 0.0000)  2 N 2.13
S (0.8824, 0.3824, 0.5000)  1 S 1.97
Ag (0.2068, 0.7068, 0.0000)  2 N 2.13

Calculated values
Polymorph energy (0 for the lowest one)   0.0 kJ/mol of formula units
ρ   5144 kg/m3
V   19.0 Å³ per atom



No. 5
The following is a DFT calculation (PBE-GGA) of TaRe2Os2 after structural relaxation.

Unit cell a=7.5537 b=7.5537 c=2.7896 alpha=90.00 beta=90.00 gamma=90.00
Last column: nearest neighbours and their distance in Å.
Fractional positions:
Ta (0.5000, 0.5000, 0.0000)  2 Ta 2.79, 4 Re 2.99
Os (0.3284, 0.1716, 0.5000)  6 Re 2.60-2.65, 2 Os 2.79
Re (0.6233, 0.1233, 0.0000)  6 Os 2.60-2.65, 3 Re 2.63-2.79
Os (0.6716, 0.8284, 0.5000)  6 Re 2.60-2.65, 2 Os 2.79
Ta (0.0000, 0.0000, 0.0000)  2 Ta 2.79, 4 Re 2.99
Os (0.8284, 0.3284, 0.5000)  6 Re 2.60-2.65, 2 Os 2.79
Os (0.1716, 0.6716, 0.5000)  6 Re 2.60-2.65, 2 Os 2.79
Re (0.1233, 0.3767, 0.0000)  6 Os 2.60-2.65, 3 Re 2.63-2.79
Re (0.8767, 0.6233, 0.0000)  6 Os 2.60-2.65, 3 Re 2.63-2.79
Re (0.3767, 0.8767, 0.0000)  6 Os 2.60-2.65, 3 Re 2.63-2.79

Calculated values
Polymorph energy (0 for the lowest one)   14.9 kJ/mol of formula units
ρ   19484 kg/m3
V   15.9 Å³ per atom



No. 6
The following is a DFT calculation (PBE-GGA) of Na4W after structural relaxation.

Unit cell a=6.0247 b=6.0247 c=6.0247 alpha=90.00 beta=90.00 gamma=90.00
Last column: nearest neighbours and their distance in Å.
Fractional positions:
Na (0.0000, 0.0000, 0.0000)  12 Na 4.26
W (0.5000, 0.5000, 0.5000)  6 Na 3.01
Na (0.5000, 0.0000, 0.5000)  2 W 3.01
Na (0.0000, 0.5000, 0.5000)  2 W 3.01
Na (0.5000, 0.5000, 0.0000)  2 W 3.01

Calculated values
ρ   2094 kg/m3
E   -11.57 eV per cell
V   43.7 Å³ per atom



No. 7
The following is a DFT calculation (PBE-GGA) of Cs2NbHgO4 after structural relaxation.

Unit cell a=6.3693 b=6.3693 c=6.3693 alpha=99.87 beta=114.48 gamma=114.48
Last column: nearest neighbours and their distance in Å.
Fractional positions:
O (0.3157, 0.8100, 0.7675)  1 Nb 1.89
Nb (0.0000, 0.5000, 0.5000)  4 O 1.89
Cs (0.0000, 0.0000, 0.0000)  8 O 3.40-3.51
O (0.0425, 0.2325, 0.5483)  1 Nb 1.89
O (0.9575, 0.5057, 0.1900)  1 Nb 1.89
Cs (0.5000, 0.7500, 0.2500)  4 O 2.96
Hg (0.5000, 0.2500, 0.7500)  4 O 2.59
O (0.6843, 0.4517, 0.4943)  1 Nb 1.89

Calculated values
ρ   5313 kg/m3
E   -45.62 eV per cell
V   24.4 Å³ per atom



No. 8
The following is a DFT calculation (PBE-GGA) of Zn2RuIO after structural relaxation.

Unit cell a=4.1280 b=4.8997 c=4.1280 alpha=90.00 beta=90.00 gamma=90.00
Last column: nearest neighbours and their distance in Å.
Fractional positions:
I (0.5000, 0.5000, 0.5000)  4 Ru 2.92, 8 Zn 3.20
Zn (0.0000, 0.0000, 0.5000)  2 O 2.06
O (0.0000, 0.0000, 0.0000)  4 Zn 2.06
Zn (0.5000, 0.0000, 0.0000)  2 O 2.06
Ru (0.0000, 0.5000, 0.0000)  2 O 2.45

Calculated values
ρ   7454 kg/m3
E   -16.87 eV per cell
V   16.7 Å³ per atom



No. 9
The following is a DFT calculation (PBE-GGA) of H3Pd4Pb2 after structural relaxation.

Unit cell a=5.1002 b=7.4206 c=7.4207 alpha=85.36 beta=69.90 gamma=69.90
Last column: nearest neighbours and their distance in Å.
Fractional positions:
Pd (0.0850, 0.2976, 0.0436)  3 H 1.91-1.96
Pb (0.7368, 0.6204, 0.3796)  6 H 2.97-3.08, 10 Pd 2.99-3.18
H (0.2500, 0.5064, 0.9936)  4 Pd 1.91-1.96
Pb (0.7632, 0.1204, 0.8796)  6 H 2.97-3.08, 10 Pd 2.99-3.18
H (0.2500, 0.2500, 0.2500)  4 Pd 1.94
Pd (0.5850, 0.5435, 0.7976)  3 H 1.91-1.96
H (0.7500, 0.7500, 0.7500)  4 Pd 1.94
Pd (0.9261, 0.2024, 0.4565)  3 H 1.91-1.96
Pd (0.5739, 0.0435, 0.2976)  3 H 1.91-1.96
Pd (0.0739, 0.7976, 0.5435)  3 H 1.91-1.96
Pd (0.9150, 0.7024, 0.9565)  3 H 1.91-1.96
Pd (0.4261, 0.9565, 0.7024)  3 H 1.91-1.96
H (0.7500, 0.4936, 0.0064)  4 Pd 1.91-1.96
Pb (0.2632, 0.3796, 0.6204)  6 H 2.97-3.08, 10 Pd 2.99-3.18
H (0.2500, 0.9936, 0.5064)  4 Pd 1.91-1.96
Pd (0.4150, 0.4565, 0.2024)  3 H 1.91-1.96
Pb (0.2368, 0.8796, 0.1204)  6 H 2.97-3.08, 10 Pd 2.99-3.18
H (0.7500, 0.0064, 0.4936)  4 Pd 1.91-1.96

Calculated values
ρ   11315 kg/m3
E   -78.40 eV per cell
V   13.7 Å³ per atom



No. 10
The following is a DFT calculation (PBE-GGA) of YAs2RuSe after structural relaxation.

Unit cell a=5.3857 b=5.3857 c=5.2986 alpha=90.00 beta=90.00 gamma=90.00
Last column: nearest neighbours and their distance in Å.
Fractional positions:
Se (0.0000, 0.0000, 0.5000)  2 Y 2.65
Y (0.0000, 0.0000, 0.0000)  2 Se 2.65, 4 As 2.69
As (0.0000, 0.5000, 0.0000)  2 Y 2.69
As (0.5000, 0.0000, 0.0000)  2 Y 2.69
Ru (0.5000, 0.5000, 0.5000)  8 As 3.78, 4 Se 3.81

Calculated values
Polymorph energy (0 for the lowest one)   557.3 kJ/mol of formula units
ρ   4525 kg/m3
V   30.7 Å³ per atom



No. 11
The following is a DFT calculation (PBE-GGA) of SmZrAl4 after structural relaxation.

Unit cell a=5.4832 b=5.4832 c=5.4832 alpha=60.00 beta=60.00 gamma=60.00
Last column: nearest neighbours and their distance in Å.
Fractional positions:
Al (0.1240, 0.6253, 0.6253)  6 Al 2.73-2.75
Al (0.6253, 0.6253, 0.1240)  6 Al 2.73-2.75
Zr (0.0000, 0.0000, 0.0000)  12 Al 3.21, 4 Sm 3.36
Al (0.6253, 0.1240, 0.6253)  6 Al 2.73-2.75
Sm (0.2500, 0.2500, 0.2500)  12 Al 3.22, 4 Zr 3.36
Al (0.6253, 0.6253, 0.6253)  6 Al 2.73-2.75

Calculated values
ρ   4979 kg/m3
E   -31.16 eV per cell
V   19.4 Å³ per atom



No. 12
The following is a DFT calculation (PBE-GGA) of Na3Ti2RhSe6 after structural relaxation.

Unit cell a=6.5443 b=6.5443 c=7.2754 alpha=98.58 beta=98.58 gamma=120.29
Last column: nearest neighbours and their distance in Å.
Fractional positions:
Ti (0.6588, 0.3412, 0.0000)  6 Se 2.60-2.68
Se (0.7495, 0.7495, 0.2123)  1 Rh 2.56, 2 Ti 2.60
Se (0.6072, 0.9342, 0.7965)  1 Rh 2.56, 2 Ti 2.62-2.68
Na (0.5000, 0.5000, 0.5000)  6 Se 2.99-3.01
Rh (0.0000, 0.0000, 0.0000)  6 Se 2.56
Se (0.3928, 0.0658, 0.2035)  1 Rh 2.56, 2 Ti 2.62-2.68
Na (0.1708, 0.8292, 0.5000)  6 Se 2.96-3.00
Se (0.0658, 0.3928, 0.2035)  1 Rh 2.56, 2 Ti 2.62-2.68
Ti (0.3412, 0.6588, 0.0000)  6 Se 2.60-2.68
Se (0.2505, 0.2505, 0.7877)  1 Rh 2.56, 2 Ti 2.60
Se (0.9342, 0.6072, 0.7965)  1 Rh 2.56, 2 Ti 2.62-2.68
Na (0.8292, 0.1708, 0.5000)  6 Se 2.96-3.00

Calculated values
ρ   4796 kg/m3
E   -59.78 eV per cell
V   21.4 Å³ per atom



No. 13
The following is a DFT calculation (PBE-GGA) of Nd3ThGe4 after structural relaxation.

Unit cell a=4.1638 b=6.5921 c=9.0162 alpha=111.45 beta=103.35 gamma=90.00
Last column: nearest neighbours and their distance in Å.
Fractional positions:
Ge (0.6315, 0.8204, 0.2630)  1 Ge 2.49
Ge (0.3685, 0.5572, 0.7370)  1 Ge 2.49
Ge (0.6315, 0.4428, 0.2630)  1 Ge 2.49
Th (0.5000, 0.0000, 0.0000)  4 Ge 2.96
Nd (0.0000, 0.5000, 0.0000)  8 Ge 3.23
Ge (0.3685, 0.1796, 0.7370)  1 Ge 2.49
Nd (0.1949, 0.1951, 0.3899)  6 Ge 3.08-3.10
Nd (0.8051, 0.8049, 0.6101)  6 Ge 3.08-3.10

Calculated values
ρ   7109 kg/m3
E   -45.16 eV per cell
V   27.9 Å³ per atom



No. 14
The following is a DFT calculation (PBE-GGA) of Si5Ir after structural relaxation.

Unit cell a=2.8484 b=2.8484 c=10.5498 alpha=90.00 beta=90.00 gamma=90.00
Last column: nearest neighbours and their distance in Å.
Fractional positions:
Si (0.0000, 0.0000, 0.5000)  12 Si 2.67-2.85
Si (0.0000, 0.0000, 0.8440)  4 Ir 2.60, 8 Si 2.75-2.85
Ir (0.5000, 0.5000, 0.0000)  8 Si 2.60, 4 Ir 2.85
Si (0.0000, 0.0000, 0.1560)  4 Ir 2.60, 8 Si 2.75-2.85
Si (0.5000, 0.5000, 0.6666)  12 Si 2.67-2.85
Si (0.5000, 0.5000, 0.3334)  12 Si 2.67-2.85

Calculated values
Polymorph energy (0 for the lowest one)   88.5 kJ/mol of formula units
ρ   6453 kg/m3
V   14.3 Å³ per atom



No. 15
The following is a DFT calculation (PBE-GGA) of K2LiVBr6 after structural relaxation.

Unit cell a=7.4621 b=7.4621 c=10.5557 alpha=90.00 beta=90.00 gamma=90.00
Last column: nearest neighbours and their distance in Å.
Fractional positions:
Br (0.0000, 0.7504, 0.2419)  1 V 2.55, 1 Li 2.72
Br (0.7583, 0.9928, 0.0000)  1 V 2.55, 1 Li 2.72
Br (0.2583, 0.0072, 0.5000)  1 V 2.55, 1 Li 2.72
Br (0.2578, 0.4911, 0.5000)  1 V 2.55, 1 Li 2.73
K (0.5000, 0.7505, 0.7501)  12 Br 3.73-3.74
Br (0.7578, 0.5089, 0.0000)  1 V 2.55, 1 Li 2.73
K (0.0000, 0.2495, 0.2501)  12 Br 3.73-3.74
Br (0.7422, 0.4911, 0.5000)  1 V 2.55, 1 Li 2.73
K (0.5000, 0.7505, 0.2499)  12 Br 3.73-3.74
Br (0.5000, 0.2496, 0.2581)  1 V 2.55, 1 Li 2.72
Br (0.5000, 0.2496, 0.7419)  1 V 2.55, 1 Li 2.72
Li (0.0000, 0.7499, 0.5000)  6 Br 2.72-2.73
K (0.0000, 0.2495, 0.7499)  12 Br 3.73-3.74
Li (0.5000, 0.2501, 0.0000)  6 Br 2.72-2.73
V (0.0000, 0.7505, 0.0000)  6 Br 2.55
V (0.5000, 0.2495, 0.5000)  6 Br 2.55
Br (0.2422, 0.5089, 0.0000)  1 V 2.55, 1 Li 2.73
Br (0.7417, 0.0072, 0.5000)  1 V 2.55, 1 Li 2.72
Br (0.0000, 0.7504, 0.7581)  1 V 2.55, 1 Li 2.72
Br (0.2417, 0.9928, 0.0000)  1 V 2.55, 1 Li 2.72

Calculated values
ρ   3478 kg/m3
E   -72.81 eV per cell
V   29.4 Å³ per atom



No. 16
The following is a DFT calculation (PBE-GGA) of Dy2HoTm2In after structural relaxation.

Unit cell a=5.3107 b=9.8592 c=6.6105 alpha=90.00 beta=90.00 gamma=90.00
Last column: nearest neighbours and their distance in Å.
Fractional positions:
Tm (0.5000, 0.1610, 0.2435)  5 Dy 3.16-3.40, 2 In 3.49, 2 Ho 3.53
Ho (0.5000, 0.5000, 0.0000)  2 In 3.31, 4 Tm 3.53, 6 Dy 3.55-3.67
Tm (0.5000, 0.8390, 0.7565)  5 Dy 3.16-3.40, 2 In 3.49, 2 Ho 3.53
Dy (0.5000, 0.8350, 0.2429)  5 Tm 3.16-3.40, 2 In 3.50
Dy (0.0000, 0.3350, 0.2571)  5 Tm 3.16-3.40, 2 In 3.50
In (0.0000, 0.0000, 0.0000)  2 Ho 3.31, 4 Tm 3.49, 4 Dy 3.50
Tm (0.0000, 0.6610, 0.2565)  5 Dy 3.16-3.40, 2 In 3.49, 2 Ho 3.53
Dy (0.0000, 0.6650, 0.7429)  5 Tm 3.16-3.40, 2 In 3.50
Dy (0.5000, 0.1650, 0.7571)  5 Tm 3.16-3.40, 2 In 3.50
In (0.5000, 0.5000, 0.5000)  2 Ho 3.31, 4 Tm 3.49, 4 Dy 3.50
Ho (0.0000, 0.0000, 0.5000)  2 In 3.31, 4 Tm 3.53, 6 Dy 3.55-3.67
Tm (0.0000, 0.3390, 0.7435)  5 Dy 3.16-3.40, 2 In 3.49, 2 Ho 3.53

Calculated values
ρ   9044 kg/m3
E   -51.32 eV per cell
V   28.8 Å³ per atom



No. 17
The following is a DFT calculation (PBE-GGA) of Zr3CuOs after structural relaxation.

Unit cell a=5.0461 b=5.0461 c=5.0461 alpha=90.00 beta=90.00 gamma=90.00
Last column: nearest neighbours and their distance in Å.
Fractional positions:
Os (0.0000, 0.0000, 0.0000)  6 Zr 2.52
Zr (0.5000, 0.0000, 0.0000)  2 Os 2.52
Zr (0.0000, 0.0000, 0.5000)  2 Os 2.52
Zr (0.0000, 0.5000, 0.0000)  2 Os 2.52
Cu (0.5000, 0.5000, 0.5000)  12 Zr 3.57

Calculated values
Polymorph energy (0 for the lowest one)   426.3 kJ/mol of formula units
ρ   6816 kg/m3
V   25.7 Å³ per atom



No. 18
The following is a DFT calculation (PBE-GGA) of PuGa4Rh5 after structural relaxation.

Unit cell a=3.0223 b=3.0223 c=16.4830 alpha=90.00 beta=90.00 gamma=90.00
Last column: nearest neighbours and their distance in Å.
Fractional positions:
Ga (0.0000, 0.0000, 0.5936)  8 Rh 2.61-2.64
Rh (0.5000, 0.5000, 0.3159)  8 Ga 2.61-2.69
Ga (0.0000, 0.0000, 0.4064)  8 Rh 2.61-2.64
Rh (0.5000, 0.5000, 0.8701)  4 Ga 2.58
Ga (0.0000, 0.0000, 0.7827)  8 Rh 2.58-2.69
Pu (0.0000, 0.0000, 0.0000)  4 Pu 3.02, 8 Rh 3.03
Ga (0.0000, 0.0000, 0.2173)  8 Rh 2.58-2.69
Rh (0.5000, 0.5000, 0.1299)  4 Ga 2.58
Rh (0.5000, 0.5000, 0.5000)  8 Ga 2.64
Rh (0.5000, 0.5000, 0.6841)  8 Ga 2.61-2.69

Calculated values
ρ   11442 kg/m3
E   -69.52 eV per cell
V   15.1 Å³ per atom



No. 19
The following is a DFT calculation (PBE-GGA) of Ba2SnPbS5 after structural relaxation.

Unit cell a=4.2189 b=9.7575 c=13.1851 alpha=90.00 beta=90.00 gamma=102.49
Last column: nearest neighbours and their distance in Å.
Fractional positions:
Pb (0.7876, 0.5752, 0.5387)  3 S 2.72-2.85
S (0.5098, 0.0196, 0.2685)  1 Sn 2.39
S (0.3284, 0.6569, 0.3644)  1 Sn 2.40
S (0.6716, 0.3431, 0.8644)  1 Sn 2.40
Sn (0.5529, 0.1058, 0.9259)  4 S 2.39-2.54
Ba (0.1347, 0.2694, 0.3271)  6 S 3.19-3.27
Pb (0.2124, 0.4248, 0.0387)  3 S 2.72-2.85
S (0.7137, 0.4275, 0.1842)  2 Pb 2.85, 1 Ba 3.18
S (0.0283, 0.0565, 0.0274)  2 Sn 2.54
Ba (0.8653, 0.7306, 0.8271)  6 S 3.19-3.27
Ba (0.8807, 0.7613, 0.1802)  8 S 3.14-3.46
Sn (0.4471, 0.8942, 0.4259)  4 S 2.39-2.54
S (0.4902, 0.9804, 0.7685)  1 Sn 2.39
S (0.9717, 0.9435, 0.5274)  2 Sn 2.54
S (0.3537, 0.7075, 0.0076)  1 Pb 2.72
Ba (0.1193, 0.2387, 0.6802)  8 S 3.14-3.46
S (0.2863, 0.5725, 0.6842)  2 Pb 2.85, 1 Ba 3.18
S (0.6463, 0.2925, 0.5076)  1 Pb 2.72

Calculated values
ρ   4768 kg/m3
E   -85.71 eV per cell
V   29.4 Å³ per atom



No. 20
The following is a DFT calculation (PBE-GGA) of Ca2AlRe after structural relaxation.

Unit cell a=5.8299 b=5.8299 c=5.8299 alpha=142.23 beta=129.21 gamma=65.00
Last column: nearest neighbours and their distance in Å.
Fractional positions:
Al (0.7073, 0.2073, 0.5000)  2 Re 2.49
Ca (0.9818, 0.9818, 0.0000)  4 Re 3.19, 4 Ca 3.26-3.39, 4 Al 3.29-3.34
Ca (0.2686, 0.7686, 0.5000)  4 Al 3.19, 4 Ca 3.26-3.39, 4 Re 3.29-3.35
Re (0.5423, 0.5423, 0.0000)  2 Al 2.49

Calculated values
ρ   5250 kg/m3
E   -18.90 eV per cell
V   23.2 Å³ per atom